Record 1
Li3U2MoN6: relaxed, GGA-PBE.

a = 3.291 Å, b = 5.859 Å, c = 6.956 Å
α = 92.62°, β = 103.68°, γ = 90.00°
Each line ends with the local moment (μB).
Element x y z (fractional)
N  0.022  0.231  0.045  0.00
N  0.660  0.991  0.319  -0.01
N  0.978  0.769  0.955  0.00
N  0.330  0.499  0.659  -0.02
N  0.670  0.501  0.341  -0.02
N  0.340  0.009  0.681  -0.01
Mo  0.500  0.000  0.000  0.42
U  0.814  0.747  0.628  0.35
U  0.186  0.253  0.372  0.35
Li  0.878  0.262  0.757  0.00
Li  0.122  0.738  0.243  0.00
Li  0.500  0.500  0.000  0.00

Properties
Space-group type ... C2/m (12)
E_form (uncorrected) ... -0.90 eV/atom
Electronic total energy ... -8.328 eV per atom

=====

Record 2
Li2Mo3WN6: relaxed, GGA-PBE.

a = 5.180 Å, b = 5.180 Å, c = 5.260 Å
α = 98.91°, β = 98.91°, γ = 120.80°
Element x y z (fractional)
Mo  0.500  0.500  0.500
Mo  0.815  0.185  0.500
Mo  0.185  0.815  0.500
Li  0.337  0.663  0.000
Li  0.663  0.337  0.000
N  0.234  0.234  0.737
N  0.410  0.084  0.233
N  0.084  0.410  0.233
N  0.916  0.590  0.767
N  0.590  0.916  0.767
N  0.766  0.766  0.263
W  0.000  0.000  0.000

Properties
Space-group type ... C2/m (12)
E_form (uncorrected) ... -0.50 eV/atom
Electronic total energy ... -8.764 eV per atom

=====

Record 3
LiZn2MoN4: relaxed, GGA-PBE.

a = 5.311 Å, b = 5.672 Å, c = 6.719 Å
α = 90.00°, β = 90.00°, γ = 90.00°
Each line ends with the local moment (μB).
Element x y z (fractional)
N  0.381  0.670  0.727  0.17
N  0.852  0.810  0.500  0.17
N  0.881  0.330  0.227  0.17
N  0.402  0.146  0.500  0.20
N  0.902  0.854  0.000  0.20
N  0.381  0.670  0.273  0.17
N  0.352  0.190  0.000  0.17
N  0.881  0.330  0.773  0.17
Mo  0.500  0.826  0.500  -0.08
Mo  0.000  0.174  0.000  -0.08
Li  0.989  0.171  0.500  0.01
Li  0.489  0.829  0.000  0.01
Zn  0.498  0.330  0.253  0.05
Zn  0.998  0.670  0.753  0.05
Zn  0.998  0.670  0.247  0.05
Zn  0.498  0.330  0.747  0.05

Properties
Space-group type ... Pmn2_1 (31)
E_form (uncorrected) ... -0.12 eV/atom
Electronic total energy ... -6.193 eV per atom

=====

Record 4
NaLi2Mo: relaxed, GGA-PBE.

a = 4.952 Å, b = 4.952 Å, c = 4.952 Å
α = 60.00°, β = 60.00°, γ = 60.00°
Each line ends with the local moment (μB).
Element x y z (fractional)
Na  0.000  0.000  0.000  -0.01
Mo  0.500  0.500  0.500  3.30
Li  0.750  0.750  0.750  0.01
Li  0.250  0.250  0.250  0.01

Properties
E_form ... 21.37 kcal/mol of atoms
Space-group type ... Fm-3m (225)
Offset from the most stable computed form ... 0 meV per atom
Electronic total energy ... -3.068 eV per atom

=====

Record 5
NaLiMo2: relaxed, GGA-PBE.

a = 3.624 Å, b = 3.624 Å, c = 11.289 Å
α = 80.76°, β = 80.76°, γ = 90.00°
Element x y z (fractional)
Na  0.750  0.250  0.500
Na  0.000  0.000  0.000
Mo  0.875  0.382  0.750
Mo  0.618  0.625  0.250
Mo  0.375  0.868  0.750
Mo  0.132  0.125  0.250
Li  0.500  0.500  0.000
Li  0.250  0.750  0.500

Properties
E_form ... 19.49 kcal/mol of atoms
Space-group type ... I-42d (122)
Offset from the most stable computed form ... 0 meV per atom
Electronic total energy ... -5.379 eV per atom

=====

Record 6
NaLi2Mo: relaxed, GGA-PBE.

a = 7.424 Å, b = 7.424 Å, c = 6.055 Å
α = 52.19°, β = 52.19°, γ = 90.00°
Each line ends with the local moment (μB).
Element x y z (fractional)
Li  0.875  0.875  0.750  0.00
Li  0.125  0.625  0.250  0.01
Li  0.625  0.125  0.250  0.01
Li  0.375  0.375  0.750  0.01
Na  0.500  0.500  0.000  0.00
Na  0.250  0.750  0.500  0.00
Mo  0.750  0.250  0.500  2.89
Mo  0.000  0.000  0.000  2.89

Properties
E_form ... 23.78 kcal/mol of atoms
Space-group type ... I-42d (122)
Offset from the most stable computed form ... 104 meV per atom
Electronic total energy ... -2.963 eV per atom

=====

Record 7
Na2LiMo: relaxed, GGA-PBE.

a = 5.295 Å, b = 5.295 Å, c = 5.295 Å
α = 60.00°, β = 60.00°, γ = 60.00°
Each line ends with the local moment (μB).
Element x y z (fractional)
Na  0.250  0.250  0.250  0.00
Na  0.750  0.750  0.750  0.00
Mo  0.500  0.500  0.500  3.55
Li  0.000  0.000  0.000  -0.03

Properties
E_form ... 23.94 kcal/mol of atoms
Space-group type ... Fm-3m (225)
Offset from the most stable computed form ... 0 meV per atom
Electronic total energy ... -2.808 eV per atom

=====

Record 8
NaLiMo2: relaxed, GGA-PBE.

a = 4.469 Å, b = 4.469 Å, c = 4.469 Å
α = 60.00°, β = 60.00°, γ = 60.00°
Element x y z (fractional)
Mo  0.750  0.750  0.750
Mo  0.250  0.250  0.250
Na  0.500  0.500  0.500
Li  0.000  0.000  0.000

Properties
E_form ... 34.08 kcal/mol of atoms
Space-group type ... Fm-3m (225)
Offset from the most stable computed form ... 633 meV per atom
Electronic total energy ... -4.746 eV per atom

=====

Record 9
Na3LiMo: relaxed, GGA-PBE.

a = 5.961 Å, b = 5.961 Å, c = 5.961 Å
α = 90.00°, β = 90.00°, γ = 90.00°
Each line ends with the local moment (μB).
Element x y z (fractional)
Mo  0.000  0.000  0.000  3.78
Na  0.000  0.500  0.000  0.02
Na  0.500  0.000  0.000  0.03
Na  0.000  0.000  0.500  0.00
Li  0.500  0.500  0.500  -0.02

Properties
E_form ... 26.95 kcal/mol of atoms
Space-group type ... Pm-3m (221)
Offset from the most stable computed form ... 35 meV per atom
Electronic total energy ... -2.172 eV per atom

=====

Record 10
Na2Li2Mo: relaxed, GGA-PBE.

a = 3.026 Å, b = 3.026 Å, c = 11.337 Å
α = 82.33°, β = 82.33°, γ = 90.00°
Each line ends with the local moment (μB).
Element x y z (fractional)
Mo  0.000  0.000  0.000  0.33
Na  0.615  0.615  0.771  0.00
Na  0.385  0.385  0.229  0.00
Li  0.750  0.250  0.500  0.01
Li  0.250  0.750  0.500  0.01

Properties
E_form ... 20.98 kcal/mol of atoms
Space-group type ... I4/mmm (139)
Offset from the most stable computed form ... 180 meV per atom
Electronic total energy ... -2.550 eV per atom

=====

Record 11
Na3LiMo: relaxed, GGA-PBE.

a = 5.382 Å, b = 5.382 Å, c = 5.382 Å
α = 90.00°, β = 90.00°, γ = 90.00°
Each line ends with the local moment (μB).
Element x y z (fractional)
Na  0.000  0.000  0.500  -0.01
Na  0.500  0.000  0.000  -0.02
Na  0.000  0.500  0.000  -0.01
Li  0.000  0.000  0.000  -0.06
Mo  0.500  0.500  0.500  3.78

Properties
E_form ... 26.15 kcal/mol of atoms
Space-group type ... Pm-3m (221)
Offset from the most stable computed form ... 0 meV per atom
Electronic total energy ... -2.206 eV per atom

=====

Record 12
NaLi3Mo: relaxed, GGA-PBE.

a = 5.274 Å, b = 5.274 Å, c = 5.274 Å
α = 90.00°, β = 90.00°, γ = 90.00°
Each line ends with the local moment (μB).
Element x y z (fractional)
Mo  0.000  0.000  0.000  3.42
Li  0.000  0.000  0.500  0.01
Li  0.500  0.000  0.000  0.03
Li  0.000  0.500  0.000  0.02
Na  0.500  0.500  0.500  -0.01

Properties
E_form ... 23.48 kcal/mol of atoms
Space-group type ... Pm-3m (221)
Offset from the most stable computed form ... 0 meV per atom
Electronic total energy ... -2.560 eV per atom